Entry 1:
Entry from the Alexandria database: a relaxed structure of SrHoCu2S4 (PBE).

Cell: 6.0901 6.0901 6.0901 Å, 114.35 114.35 100.10°
Fractional coordinates of all 8 atoms:
Sr1 0.0000 0.0000 0.0000
Ho1 0.5000 0.5000 0.0000
Cu1 0.2500 0.7500 0.5000
Cu2 0.7500 0.2500 0.5000
S1 0.0682 0.0682 0.5553
S2 0.4871 0.9318 0.0000
S3 0.5129 0.5129 0.4447
S4 0.9318 0.4871 0.0000

Space group: No. 121
Formation energy without anion corrections, eV/atom: -1.1446

Entry 2:
Entry from the Alexandria database: a relaxed structure of Sr2HoCu2S4 (PBE).

Cell: 7.4440 7.4440 7.1506 Å, 109.60 109.60 30.14°
Fractional coordinates of all 9 atoms:
Sr1 0.1339 0.1339 0.0701
Sr2 0.8661 0.8661 0.9299
Ho1 0.0000 0.0000 0.5000
Cu1 0.3169 0.3169 0.5034
Cu2 0.6831 0.6831 0.4966
S1 0.2038 0.2038 0.7060
S2 0.4758 0.4758 0.7520
S3 0.5242 0.5242 0.2480
S4 0.7962 0.7962 0.2940

Space group: No. 12
Formation energy without anion corrections, eV/atom: -1.3546

Entry 3:
Entry from the Alexandria database: a relaxed structure of Tb3Ho3CuS8 (PBE).

Cell: 7.7550 7.7550 7.7550 Å, 59.95 59.95 59.95°
Fractional coordinates of all 15 atoms:
Tb1 0.0000 0.5000 0.5000
Tb2 0.5000 0.0000 0.5000
Tb3 0.5000 0.5000 0.0000
Ho1 0.0000 0.0000 0.5000
Ho2 0.0000 0.5000 0.0000
Ho3 0.5000 0.0000 0.0000
Cu1 0.5000 0.5000 0.5000
S1 0.2489 0.2489 0.2489
S2 0.2532 0.7444 0.7444
S3 0.2556 0.2556 0.7468
S4 0.2556 0.7468 0.2556
S5 0.7444 0.2532 0.7444
S6 0.7444 0.7444 0.2532
S7 0.7468 0.2556 0.2556
S8 0.7511 0.7511 0.7511

Space group: No. 166
Formation energy without anion corrections, eV/atom: -1.8259

Entry 4:
Entry from the Alexandria database: a relaxed structure of TbHo2CuS5 (PBE).

Cell: 8.6579 8.6579 11.3416 Å, 90.00 90.00 154.56°
Fractional coordinates of all 18 atoms:
Tb1 0.1947 0.8053 0.5000
Tb2 0.8053 0.1947 0.0000
Ho1 0.1042 0.8958 0.1736
Ho2 0.1175 0.8825 0.7973
Ho3 0.8825 0.1175 0.2973
Ho4 0.8958 0.1042 0.6736
Cu1 0.4414 0.5586 0.9459
Cu2 0.5586 0.4414 0.4459
S1 0.0421 0.9579 0.5553
S2 0.2913 0.7087 0.1721
S3 0.3212 0.6788 0.8310
S4 0.3586 0.6414 0.4919
S5 0.4972 0.5028 0.2688
S6 0.5028 0.4972 0.7688
S7 0.6414 0.3586 0.9919
S8 0.6788 0.3212 0.3310
S9 0.7087 0.2913 0.6721
S10 0.9579 0.0421 0.0553

Space group: No. 36
Formation energy without anion corrections, eV/atom: -1.6956

Entry 5:
Entry from the Alexandria database: a relaxed structure of TbHoCu2S4 (PBE).

Cell: 6.0442 6.0442 6.0442 Å, 115.38 115.11 98.45°
Fractional coordinates of all 8 atoms:
Tb1 0.0000 0.0000 0.0000
Ho1 0.5000 0.5000 0.0000
Cu1 0.3386 0.8386 0.5000
Cu2 0.6614 0.1614 0.5000
S1 0.0810 0.5748 0.0090
S2 0.4342 0.4252 0.5062
S3 0.5658 0.0720 0.9910
S4 0.9190 0.9280 0.4938

Space group: No. 23
Formation energy without anion corrections, eV/atom: -1.1844

Entry 6:
Entry from the Alexandria database: a relaxed structure of HoCuTeS (PBE).

Cell: 7.2266 7.2266 7.2266 Å, 31.94 31.94 31.94°
Fractional coordinates of all 4 atoms:
Ho1 0.0000 0.0000 0.0000
Cu1 0.4463 0.4463 0.4463
Te1 0.5727 0.5727 0.5727
S1 0.7473 0.7473 0.7473

Space group: No. 160
Formation energy without anion corrections, eV/atom: -0.9828